Li3Ge2Pd3: relaxed, PBE.

Geometry as POSCAR:
```
Li3Ge2Pd3
1.0
2.1162 -4.1475 0.0000
2.1162 4.1475 0.0000
0.0000 0.0000 13.7740
Li Ge Pd
6 4 6
Direct
0.0133 0.9867 0.5967 Li
0.0133 0.9867 0.9033 Li
0.2016 0.7984 0.7500 Li
0.7984 0.2016 0.2500 Li
0.9867 0.0133 0.0967 Li
0.9867 0.0133 0.4033 Li
0.3028 0.6972 0.1196 Ge
0.3028 0.6972 0.3804 Ge
0.6972 0.3028 0.6196 Ge
0.6972 0.3028 0.8804 Ge
0.3386 0.6614 0.5607 Pd
0.3386 0.6614 0.9393 Pd
0.5000 0.5000 0.2500 Pd
0.5000 0.5000 0.7500 Pd
0.6614 0.3386 0.0607 Pd
0.6614 0.3386 0.4393 Pd
```

Values from the calculation:
* energy of formation: -0.51 eV/atom
* E above lowest polymorph: 83 meV/atom